1.
# CaLaPrHo | Alexandria | PBE-GGA | optimized geometry
# DOS(E_F) = 6.51 states/eV/cell
# Density = 5.55 g/cm³
# Energy relative to the lowest polymorph listed for this composition = 0.000 eV/atom
# Formation enthalpy at 0 K = 0.045 eV/atom
# Total magnetic moment = 0.00 μB per atom
data_CaLaPrHo
_cell_length_a 3.689
_cell_length_b 3.689
_cell_length_c 10.662
_cell_angle_alpha 90.00
_cell_angle_beta 90.00
_cell_angle_gamma 90.00
_space_group_name_H-M_alt 'P 4 m m'
_space_group_IT_number 99
loop_
_space_group_symop_operation_xyz
'x,y,z'
'-y,x,z'
'-x,-y,z'
'y,-x,z'
'-x,y,z'
'y,x,z'
'x,-y,z'
'-y,-x,z'
loop_
_atom_site_label
_atom_site_type_symbol
_atom_site_fract_x
_atom_site_fract_y
_atom_site_fract_z
Ca1 Ca 0.000 0.000 0.000
La1 La 0.500 0.500 0.730
Pr1 Pr 0.500 0.500 0.263
Ho1 Ho 0.000 0.000 0.494

2.
# Pr3Si5Ir6 | Alexandria | PBE-GGA | optimized geometry
# DOS(E_F) = 11.38 states/eV/cell
# Density = 11.23 g/cm³
# ΔE_f (raw) = -0.932 eV per atom
# Total magnetic moment = 0.00 μB per atom
data_Pr3Si5Ir6
_cell_length_a 4.049
_cell_length_b 12.511
_cell_length_c 10.020
_cell_angle_alpha 90.00
_cell_angle_beta 90.00
_cell_angle_gamma 90.00
_space_group_name_H-M_alt 'P m m n'
_space_group_IT_number 59
loop_
_space_group_symop_operation_xyz
'x,y,z'
'-x,-y,-z'
'-x+1/2,-y+1/2,z'
'x+1/2,y+1/2,-z'
'x+1/2,-y,-z'
'-x+1/2,y,z'
'-x,y+1/2,-z'
'x,-y+1/2,z'
loop_
_atom_site_label
_atom_site_type_symbol
_atom_site_fract_x
_atom_site_fract_y
_atom_site_fract_z
Pr1 Pr 0.250 0.097 0.246
Pr2 Pr 0.250 0.750 0.242
Si1 Si 0.250 0.075 0.647
Si2 Si 0.250 0.625 0.990
Si3 Si 0.250 0.750 0.600
Ir1 Ir 0.250 0.050 0.896
Ir2 Ir 0.250 0.250 0.005
Ir3 Ir 0.250 0.250 0.525
Ir4 Ir 0.250 0.580 0.487

3.
# NbSn2Rh | Alexandria | PBE-GGA | optimized geometry
# DOS(E_F) = 19.84 states/eV/cell
# Density = 9.57 g/cm³
# Formation enthalpy at 0 K = -0.051 eV/atom
# Total magnetic moment = 0.09 μB per atom
data_NbSn2Rh
_cell_length_a 6.700
_cell_length_b 6.700
_cell_length_c 6.700
_cell_angle_alpha 90.00
_cell_angle_beta 90.00
_cell_angle_gamma 90.00
_space_group_name_H-M_alt 'F m -3 m'
_space_group_IT_number 225
_space_group_name_Hall '-F 4 2 3'
loop_
_atom_site_label
_atom_site_type_symbol
_atom_site_fract_x
_atom_site_fract_y
_atom_site_fract_z
Nb1 Nb 0.000 0.000 0.000
Sn1 Sn 0.250 0.250 0.250
Rh1 Rh 0.000 0.000 0.500

4.
# PmCd2Cu | Alexandria | PBE-GGA | optimized geometry
# DOS(E_F) = 12.36 states/eV/cell
# Density = 8.19 g/cm³
# Energy relative to the lowest polymorph listed for this composition = 0.156 eV/atom
# Formation enthalpy at 0 K = -0.117 eV/atom
# Total magnetic moment = 0.00 μB per atom
data_PmCd2Cu
_cell_length_a 7.058
_cell_length_b 7.058
_cell_length_c 7.058
_cell_angle_alpha 90.00
_cell_angle_beta 90.00
_cell_angle_gamma 90.00
_space_group_name_H-M_alt 'F m -3 m'
_space_group_IT_number 225
_space_group_name_Hall '-F 4 2 3'
loop_
_atom_site_label
_atom_site_type_symbol
_atom_site_fract_x
_atom_site_fract_y
_atom_site_fract_z
Pm1 Pm 0.000 0.000 0.000
Cd1 Cd 0.250 0.250 0.250
Cu1 Cu 0.000 0.000 0.500

5.
# CaMgTi | Alexandria | PBE-GGA | optimized geometry
# DOS(E_F) = 10.13 states/eV/cell
# Density = 2.45 g/cm³
# Energy relative to the lowest polymorph listed for this composition = 0.000 eV/atom
# Formation enthalpy at 0 K = 0.259 eV/atom
# Total magnetic moment = 0.01 μB per atom
data_CaMgTi
_cell_length_a 11.911
_cell_length_b 3.228
_cell_length_c 8.385
_cell_angle_alpha 90.00
_cell_angle_beta 109.43
_cell_angle_gamma 90.00
_space_group_name_H-M_alt 'C 1 m 1'
_space_group_IT_number 8
loop_
_space_group_symop_operation_xyz
'x,y,z'
'x,-y,z'
'x+1/2,y+1/2,z'
'x+1/2,-y+1/2,z'
loop_
_atom_site_label
_atom_site_type_symbol
_atom_site_fract_x
_atom_site_fract_y
_atom_site_fract_z
Ca1 Ca 0.000 0.000 0.000
Ca2 Ca 0.185 0.500 0.747
Mg1 Mg 0.380 0.000 0.598
Mg2 Mg 0.492 0.500 0.381
Ti1 Ti 0.201 0.500 0.333
Ti2 Ti 0.291 0.000 0.145

6.
# Mg2AsRh | Alexandria | PBE-GGA | optimized geometry
# DOS(E_F) = 3.21 states/eV/cell
# Density = 5.65 g/cm³
# Formation enthalpy at 0 K = -0.362 eV/atom
# Total magnetic moment = 0.00 μB per atom
data_Mg2AsRh
_cell_length_a 4.115
_cell_length_b 4.115
_cell_length_c 7.854
_cell_angle_alpha 90.00
_cell_angle_beta 90.00
_cell_angle_gamma 90.00
_space_group_name_H-M_alt 'I 4/m m m'
_space_group_IT_number 139
_space_group_name_Hall '-I 4 2'
loop_
_atom_site_label
_atom_site_type_symbol
_atom_site_fract_x
_atom_site_fract_y
_atom_site_fract_z
Mg1 Mg 0.000 0.500 0.250
As1 As 0.000 0.000 0.000
Rh1 Rh 0.000 0.000 0.500

7.
# Be2CdRu | Alexandria | PBE-GGA | optimized geometry
# DOS(E_F) = 8.92 states/eV/cell
# Density = 6.34 g/cm³
# Formation enthalpy at 0 K = 0.486 eV/atom
# Total magnetic moment = 0.00 μB per atom
data_Be2CdRu
_cell_length_a 3.925
_cell_length_b 3.925
_cell_length_c 15.751
_cell_angle_alpha 90.00
_cell_angle_beta 90.00
_cell_angle_gamma 90.00
_space_group_name_H-M_alt 'I -4 2 d'
_space_group_IT_number 122
_space_group_name_Hall 'I -4 2bw'
loop_
_atom_site_label
_atom_site_type_symbol
_atom_site_fract_x
_atom_site_fract_y
_atom_site_fract_z
Be1 Be 0.119 0.250 0.125
Cd1 Cd 0.000 0.000 0.500
Ru1 Ru 0.000 0.000 0.000

8.
# KLaCd2Rh | Alexandria | PBE-GGA | optimized geometry
# DOS(E_F) = 3.22 states/eV/cell
# Density = 5.37 g/cm³
# Formation enthalpy at 0 K = -0.272 eV/atom
# Total magnetic moment = 0.00 μB per atom
data_KLaCd2Rh
_cell_length_a 5.499
_cell_length_b 5.499
_cell_length_c 5.170
_cell_angle_alpha 90.00
_cell_angle_beta 90.00
_cell_angle_gamma 90.00
_space_group_name_H-M_alt 'P 4/m m m'
_space_group_IT_number 123
_space_group_name_Hall '-P 4 2'
loop_
_atom_site_label
_atom_site_type_symbol
_atom_site_fract_x
_atom_site_fract_y
_atom_site_fract_z
K1 K 0.000 0.000 0.000
La1 La 0.500 0.500 0.000
Cd1 Cd 0.000 0.500 0.500
Rh1 Rh 0.500 0.500 0.500

9.
# ZnCuPt6 | Alexandria | PBE-GGA | optimized geometry
# DOS(E_F) = 9.29 states/eV/cell
# Density = 17.92 g/cm³
# Energy relative to the lowest polymorph listed for this composition = 0.000 eV/atom
# Formation enthalpy at 0 K = -0.218 eV/atom
# Total magnetic moment = 0.00 μB per atom
data_ZnCuPt6
_cell_length_a 3.919
_cell_length_b 3.919
_cell_length_c 7.840
_cell_angle_alpha 90.00
_cell_angle_beta 90.00
_cell_angle_gamma 90.00
_space_group_name_H-M_alt 'P 4/m m m'
_space_group_IT_number 123
_space_group_name_Hall '-P 4 2'
loop_
_atom_site_label
_atom_site_type_symbol
_atom_site_fract_x
_atom_site_fract_y
_atom_site_fract_z
Zn1 Zn 0.000 0.000 0.000
Cu1 Cu 0.000 0.000 0.500
Pt1 Pt 0.000 0.500 0.252
Pt2 Pt 0.500 0.500 0.000
Pt3 Pt 0.500 0.500 0.500

10.
# Pr3Y6Sc | Alexandria | PBE-GGA | optimized geometry
# DOS(E_F) = 59.05 states/eV/cell
# Density = 5.03 g/cm³
# Energy relative to the lowest polymorph listed for this composition = 0.000 eV/atom
# Formation enthalpy at 0 K = 0.142 eV/atom
# Total magnetic moment = 0.00 μB per atom
data_Pr3Y6Sc
_cell_length_a 10.957
_cell_length_b 18.904
_cell_length_c 6.388
_cell_angle_alpha 90.00
_cell_angle_beta 90.00
_cell_angle_gamma 90.00
_space_group_name_H-M_alt 'C m c 21'
_space_group_IT_number 36
loop_
_space_group_symop_operation_xyz
'x,y,z'
'-x,-y,z+1/2'
'-x,y,z'
'x,-y,z+1/2'
'x+1/2,y+1/2,z'
'-x+1/2,-y+1/2,z+1/2'
'-x+1/2,y+1/2,z'
'x+1/2,-y+1/2,z+1/2'
loop_
_atom_site_label
_atom_site_type_symbol
_atom_site_fract_x
_atom_site_fract_y
_atom_site_fract_z
Pr1 Pr 0.000 0.115 0.000
Pr2 Pr 0.170 0.385 0.384
Y1 Y 0.000 0.226 0.572
Y2 Y 0.000 0.455 0.817
Y3 Y 0.167 0.044 0.484
Y4 Y 0.245 0.208 0.301
Sc1 Sc 0.000 0.300 0.060

11.
# Pr5Ho2Sc2 | Alexandria | PBE-GGA | optimized geometry
# DOS(E_F) = 55.16 states/eV/cell
# Density = 6.36 g/cm³
# Energy relative to the lowest polymorph listed for this composition = 0.000 eV/atom
# Formation enthalpy at 0 K = 0.107 eV/atom
# Total magnetic moment = 0.00 μB per atom
data_Pr5Ho2Sc2
_cell_length_a 5.580
_cell_length_b 21.036
_cell_length_c 10.002
_cell_angle_alpha 90.00
_cell_angle_beta 90.00
_cell_angle_gamma 90.00
_space_group_name_H-M_alt 'I m m a'
_space_group_IT_number 74
_space_group_name_Hall '-I 2b 2'
loop_
_atom_site_label
_atom_site_type_symbol
_atom_site_fract_x
_atom_site_fract_y
_atom_site_fract_z
Pr1 Pr 0.000 0.109 0.136
Pr2 Pr 0.000 0.157 0.627
Pr3 Pr 0.000 0.250 0.336
Ho1 Ho 0.000 0.000 0.500
Ho2 Ho 0.000 0.250 0.937
Sc1 Sc 0.000 0.046 0.838

12.
# HfCd2Cu | Alexandria | PBE-GGA | optimized geometry
# DOS(E_F) = 6.50 states/eV/cell
# Density = 9.54 g/cm³
# Formation enthalpy at 0 K = 0.342 eV/atom
# Total magnetic moment = 0.00 μB per atom
data_HfCd2Cu
_cell_length_a 2.9808
_cell_length_b 2.9808
_cell_length_c 31.6905
_cell_angle_alpha 90.00
_cell_angle_beta 90.00
_cell_angle_gamma 120.00
_space_group_name_H-M_alt 'R -3 m'
_space_group_IT_number 166
_space_group_name_Hall '-R 3 2"'
loop_
_atom_site_label
_atom_site_type_symbol
_atom_site_fract_x
_atom_site_fract_y
_atom_site_fract_z
Hf1 Hf 0.0000 0.0000 0.0000
Cd1 Cd 0.0000 0.0000 0.0963
Cu1 Cu 0.0000 0.0000 0.5000